HgSbMo2 after structural relaxation, computed with PBE.

The space group is I-4m2 (No. 119) and the conventional cell measures 4.125, 4.125 and 8.650 Å, with angles of 90.00, 90.00 and 90.00 degrees. The inequivalent atoms are Hg at (0.000, 0.000, 0.000), Sb at (0.000, 0.500, 0.250), Mo at (0.000, 0.000, 0.500) and Mo at (0.000, 0.500, 0.750).

The total energy comes out at -47.2 eV/cell. Its crystal system is tetragonal. Its density of states at the Fermi level is 0.80 states/eV per atom.